Entry 1:
Here is a geometry-optimized Dy2YMg3Ir3 structure from OQMD. Energies are from PBE.

abc: 4.061 7.262 7.262
angles: 120.10 90.00 90.00
Fractional coordinates of all 9 atoms:
1 Dy 0.000 0.409 0.000
2 Dy 0.000 0.000 0.409
3 Ir 0.000 0.001 0.001
4 Ir 0.500 0.667 0.332
5 Ir 0.500 0.332 0.667
6 Mg 0.500 0.246 0.246
7 Mg 0.500 0.000 0.755
8 Mg 0.500 0.755 0.000
9 Y 0.000 0.591 0.591


Entry 2:
Here is a geometry-optimized AlCdMo2 structure from OQMD. Energies are from PBE.

abc: 4.532 4.532 4.532
angles: 60.00 60.00 60.00
Fractional coordinates of all 4 atoms:
1 Al 0.500 0.500 0.500
2 Cd 0.250 0.250 0.250
3 Mo 0.000 0.000 0.000
4 Mo 0.750 0.750 0.750


no.,calculated total energy (eV/cell)
1,-53.02
2,-25.34